Entry 1:
# TbNdEr, optimized geometry, DFT PBE-GGA
data_TbNdEr
_chemical_formula_sum 'Tb1 Nd1 Er1'
_cell_length_a 3.5840
_cell_length_b 3.5838
_cell_length_c 8.7543
_cell_angle_alpha 90.06
_cell_angle_beta 89.98
_cell_angle_gamma 120.02
_space_group_name_H-M_alt 'P 1'
_space_group_IT_number 1
loop_
_space_group_symop_operation_xyz
'x,y,z'
loop_
_atom_site_label
_atom_site_fract_x
_atom_site_fract_y
_atom_site_fract_z
Nd1 0.4577 0.1045 0.1121
Er1 0.7909 0.7724 0.7777
Tb1 0.1242 0.4388 0.4527
# calculated volume: 97.4 Å³/f.u.
# total energy: -13.9 eV/cell
# space group: Cm



Entry 2:
# TbNd4Er6, optimized geometry, DFT PBE-GGA
data_TbNd4Er6
_chemical_formula_sum 'Tb1 Nd4 Er6'
_cell_length_a 9.6792
_cell_length_b 9.6792
_cell_length_c 9.6792
_cell_angle_alpha 58.18
_cell_angle_beta 139.78
_cell_angle_gamma 139.78
_space_group_name_H-M_alt 'P 1'
_space_group_IT_number 1
loop_
_space_group_symop_operation_xyz
'x,y,z'
loop_
_atom_site_label
_atom_site_fract_x
_atom_site_fract_y
_atom_site_fract_z
Nd1 0.3797 0.3655 0.3655
Nd2 0.0000 0.6345 0.0142
Nd3 0.6203 0.9858 0.9858
Nd4 0.0000 0.0142 0.6345
Er1 0.5000 0.5000 0.0000
Er2 0.5000 0.0000 0.5000
Er3 0.0000 0.8016 0.4461
Er4 0.6445 0.1984 0.1984
Er5 0.3555 0.5539 0.5539
Er6 0.0000 0.4461 0.8016
Tb1 0.0000 0.0000 0.0000
# calculated volume: 374.6 Å³/f.u.
# total energy: -47.8 eV/cell
# space group: I-42m



Taking the records one at a time from the top gives formation energy from the elements values of 0.0181; 0.2991 eV/atom.